Entry 1:
VASP calculation (PBE-GGA) on crystalline Th6NiI15 at its relaxed geometry.

Calculated values
Fermi-level density of states, states/eV per atom: 0.41
Space-group type: No. 229
Uncorrected formation energy, eV/atom: -1.09

```
Th6NiI15
1.0
-6.1914 6.1914 6.1914
6.1914 -6.1914 6.1914
6.1914 6.1914 -6.1914
Th Ni I
6 1 15
direct
0.0000 0.2305 0.2305
0.0000 0.7695 0.7695
0.2305 0.0000 0.2305
0.2305 0.2305 0.0000
0.7695 0.0000 0.7695
0.7695 0.7695 0.0000
0.0000 0.0000 0.0000
0.0000 0.2528 0.7472
0.0000 0.5000 0.5000
0.0000 0.7472 0.2528
0.2528 0.0000 0.7472
0.2528 0.2528 0.5056
0.2528 0.5056 0.2528
0.2528 0.7472 0.0000
0.4944 0.7472 0.7472
0.5000 0.0000 0.5000
0.5000 0.5000 0.0000
0.5056 0.2528 0.2528
0.7472 0.0000 0.2528
0.7472 0.2528 0.0000
0.7472 0.4944 0.7472
0.7472 0.7472 0.4944
```



Entry 2:
VASP calculation (PBE-GGA) on crystalline Cu5Pt2Au2 at its relaxed geometry.

Calculated values
Fermi-level density of states, states/eV per atom: 0.48
Space-group type: No. 2
ΔE_f, eV per atom: -0.043
Energy above the lowest structure with this stoichiometry, eV/f.u.: 0.336

```
Cu5Pt2Au2
1.0
2.7789 0.0000 0.0000
0.0941 6.4174 0.0000
1.3354 1.1345 7.3253
Cu Pt Au
5 2 2
direct
0.0000 0.0000 0.0000
0.2852 0.3469 0.4411
0.4568 0.3122 0.0991
0.5432 0.6878 0.9009
0.7148 0.6531 0.5589
0.1065 0.3825 0.7922
0.8935 0.6175 0.2078
0.3227 0.9610 0.3318
0.6773 0.0390 0.6682
```



Entry 3:
VASP calculation (PBE-GGA) on crystalline CuSi2Ni at its relaxed geometry.

Calculated values
Fermi-level density of states, states/eV per atom: 0.32
Space-group type: No. 6
Uncorrected formation energy, eV/atom: -0.13

```
CuSi2Ni
1.0
2.7867 0.0000 0.0000
0.0000 4.3479 0.0000
-1.3478 0.0000 4.2791
Cu Si Ni
1 2 1
direct
0.0000 0.0000 0.0000
0.1360 0.5000 0.2629
0.2842 0.0000 0.5564
0.4211 0.5000 0.8220
```



Entry 4:
VASP calculation (PBE-GGA) on crystalline Na3FeSe at its relaxed geometry.

Calculated values
Fermi-level density of states, states/eV per atom: 0.72
Space-group type: No. 221
Uncorrected formation energy, eV/atom: 0.15
Energy above the lowest structure with this stoichiometry, eV/f.u.: 0.000

```
Na3FeSe
1.0
5.4948 0.0000 0.0000
0.0000 5.4948 0.0000
0.0000 0.0000 5.4948
Na Fe Se
3 1 1
direct
0.0000 0.0000 0.5000
0.0000 0.5000 0.0000
0.5000 0.0000 0.0000
0.5000 0.5000 0.5000
0.0000 0.0000 0.0000
```



Entry 5:
VASP calculation (PBE-GGA) on crystalline LaIn3Sb at its relaxed geometry.

Calculated values
Fermi-level density of states, states/eV per atom: 0.74
Space-group type: No. 221
Uncorrected formation energy, eV/atom: 0.76
Energy above the lowest structure with this stoichiometry, eV/f.u.: 2.368

```
LaIn3Sb
1.0
6.0330 0.0000 0.0000
0.0000 6.0330 0.0000
0.0000 0.0000 6.0330
La In Sb
1 3 1
direct
0.0000 0.0000 0.0000
0.0000 0.0000 0.5000
0.0000 0.5000 0.0000
0.5000 0.0000 0.0000
0.5000 0.5000 0.5000
```



Entry 6:
VASP calculation (PBE-GGA) on crystalline Nd3CI7 at its relaxed geometry.

Calculated values
Fermi-level density of states, states/eV per atom: 0.55
Space-group type: No. 156
Uncorrected formation energy, eV/atom: -0.91

```
Nd3CI7
1.0
8.8216 0.0000 0.0000
-4.4108 7.6397 0.0000
0.0000 0.0000 7.7370
Nd C I
3 1 7
direct
0.0225 0.5113 0.0000
0.4887 0.5113 0.0000
0.4887 0.9775 0.0000
0.3333 0.6667 0.0822
0.1644 0.3288 0.7509
0.1644 0.8356 0.7509
0.3360 0.1680 0.2275
0.6667 0.3333 0.7571
0.6712 0.8356 0.7509
0.8320 0.1680 0.2275
0.8320 0.6640 0.2275
```



Entry 7:
VASP calculation (PBE-GGA) on crystalline Rb2BaICl6 at its relaxed geometry.

Calculated values
Fermi-level density of states, states/eV per atom: 0.37
Space-group type: No. 139
Uncorrected formation energy, eV/atom: -1.36

```
Rb2BaICl6
1.0
-4.0280 4.0280 6.7308
4.0280 -4.0280 6.7308
4.0280 4.0280 -6.7308
Rb Ba I Cl
2 1 1 6
direct
0.2500 0.7500 0.5000
0.7500 0.2500 0.5000
0.0000 0.0000 0.0000
0.5000 0.5000 0.0000
0.2225 0.2225 0.0000
0.2626 0.2626 0.5253
0.2626 0.7374 0.0000
0.7374 0.2626 0.0000
0.7374 0.7374 0.4747
0.7775 0.7775 0.0000
```



Entry 8:
VASP calculation (PBE-GGA) on crystalline RbBeP2S at its relaxed geometry.

Calculated values
Fermi-level density of states, states/eV per atom: 1.52
Space-group type: No. 123
Uncorrected formation energy, eV/atom: 2.13
Energy above the lowest structure with this stoichiometry, eV/f.u.: 9.019

```
RbBeP2S
1.0
7.1480 0.0000 0.0000
0.0000 7.1480 0.0000
0.0000 0.0000 6.3286
Rb Be P S
1 1 2 1
direct
0.0000 0.0000 0.0000
0.5000 0.5000 0.5000
0.0000 0.5000 0.0000
0.5000 0.0000 0.0000
0.0000 0.0000 0.5000
```



Entry 9:
VASP calculation (PBE-GGA) on crystalline Tb3YPb2C at its relaxed geometry.

Calculated values
Fermi-level density of states, states/eV per atom: 0.10
Space-group type: No. 71
ΔE_f, eV per atom: -0.553

```
Tb3YPb2C
1.0
-2.4181 2.4285 8.0965
2.4181 -2.4285 8.0965
2.4181 2.4285 -8.0965
Tb Y Pb C
3 1 2 1
direct
0.0000 0.0000 0.0000
0.3424 0.8424 0.5000
0.6576 0.1576 0.5000
0.5000 0.5000 0.0000
0.1420 0.6420 0.5000
0.8580 0.3580 0.5000
0.5000 0.0000 0.5000
```



Entry 10:
VASP calculation (PBE-GGA) on crystalline Na4InSb2 at its relaxed geometry.

Calculated values
Fermi-level density of states, states/eV per atom: 0.72
Space-group type: No. 139
Uncorrected formation energy, eV/atom: 0.07
Energy above the lowest structure with this stoichiometry, eV/f.u.: 2.255

```
Na4InSb2
1.0
-2.9127 2.9127 7.5693
2.9127 -2.9127 7.5693
2.9127 2.9127 -7.5693
Na In Sb
4 1 2
direct
0.0000 0.5000 0.5000
0.2022 0.2022 0.0000
0.5000 0.0000 0.5000
0.7978 0.7978 0.0000
0.0000 0.0000 0.0000
0.4042 0.4042 0.0000
0.5958 0.5958 0.0000
```



Entry 11:
VASP calculation (PBE-GGA) on crystalline LaFePb at its relaxed geometry.

Calculated values
Fermi-level density of states, states/eV per atom: 2.16
Space-group type: No. 216
ΔE_f, eV per atom: 0.049

```
LaFePb
1.0
0.0000 3.4006 3.4006
3.4006 0.0000 3.4006
3.4006 3.4006 0.0000
La Fe Pb
1 1 1
direct
0.0000 0.0000 0.0000
0.2500 0.2500 0.2500
0.5000 0.5000 0.5000
```



Entry 12:
VASP calculation (PBE-GGA) on crystalline Rb3Sm3MnS8 at its relaxed geometry.

Calculated values
Space-group type: No. 166
Uncorrected formation energy, eV/atom: -1.50

```
Rb3Sm3MnS8
1.0
4.0116 2.3161 7.8380
-4.0116 2.3161 7.8380
0.0000 -4.6322 7.8380
Rb Sm Mn S
3 3 1 8
direct
0.0000 0.5000 0.5000
0.5000 0.0000 0.5000
0.5000 0.5000 0.0000
0.0000 0.0000 0.5000
0.0000 0.5000 0.0000
0.5000 0.0000 0.0000
0.5000 0.5000 0.5000
0.2325 0.2325 0.2325
0.2655 0.7056 0.7056
0.2944 0.2944 0.7345
0.2944 0.7345 0.2944
0.7056 0.2655 0.7056
0.7056 0.7056 0.2655
0.7345 0.2944 0.2944
0.7675 0.7675 0.7675
```



Entry 13:
VASP calculation (PBE-GGA) on crystalline Er4Cu2Tc at its relaxed geometry.

Calculated values
Fermi-level density of states, states/eV per atom: 0.55
Space-group type: No. 166
ΔE_f, eV per atom: -0.121

```
Er4Cu2Tc
1.0
2.4109 1.3919 7.8831
-2.4109 1.3919 7.8831
0.0000 -2.7838 7.8831
Er Cu Tc
4 2 1
direct
0.1225 0.1225 0.1225
0.3748 0.3748 0.3748
0.6252 0.6252 0.6252
0.8775 0.8775 0.8775
0.2531 0.2531 0.2531
0.7469 0.7469 0.7469
0.0000 0.0000 0.0000
```



Entry 14:
VASP calculation (PBE-GGA) on crystalline PmNd2Mg2 at its relaxed geometry.

Calculated values
Fermi-level density of states, states/eV per atom: 1.34
Space-group type: No. 71
ΔE_f, eV per atom: 0.035
Energy above the lowest structure with this stoichiometry, eV/f.u.: 0.567

```
PmNd2Mg2
1.0
-2.6546 3.5903 4.1174
2.6546 -3.5903 4.1174
2.6546 3.5903 -4.1174
Pm Nd Mg
1 2 2
direct
0.0000 0.0000 0.0000
0.3059 0.8059 0.5000
0.6941 0.1941 0.5000
0.2944 0.5000 0.7944
0.7056 0.5000 0.2056
```



Entry 15:
VASP calculation (PBE-GGA) on crystalline SrAlNi2Se at its relaxed geometry.

Calculated values
Fermi-level density of states, states/eV per atom: 0.60
Space-group type: No. 123
Uncorrected formation energy, eV/atom: 0.16

```
SrAlNi2Se
1.0
4.3976 0.0000 0.0000
0.0000 4.3976 0.0000
0.0000 0.0000 6.2460
Sr Al Ni Se
1 1 2 1
direct
0.0000 0.0000 0.0000
0.0000 0.0000 0.5000
0.0000 0.5000 0.5000
0.5000 0.0000 0.5000
0.5000 0.5000 0.0000
```



Entry 16:
VASP calculation (PBE-GGA) on crystalline GaSnBi2Cl at its relaxed geometry.

Calculated values
Fermi-level density of states, states/eV per atom: 1.21
Space-group type: No. 123
Uncorrected formation energy, eV/atom: 0.45

```
GaSnBi2Cl
1.0
5.8751 0.0000 0.0000
0.0000 5.8751 0.0000
0.0000 0.0000 5.5137
Ga Sn Bi Cl
1 1 2 1
direct
0.0000 0.0000 0.0000
0.0000 0.0000 0.5000
0.0000 0.5000 0.5000
0.5000 0.0000 0.5000
0.5000 0.5000 0.0000
```



Entry 17:
VASP calculation (PBE-GGA) on crystalline PuPd4Pt at its relaxed geometry.

Calculated values
Fermi-level density of states, states/eV per atom: 2.15
Space-group type: No. 12
ΔE_f, eV per atom: -0.399
Energy above the lowest structure with this stoichiometry, eV/f.u.: 0.000

```
PuPd4Pt
1.0
2.4949 -4.4098 0.0000
2.4949 4.4098 0.0000
-1.5795 0.0000 4.6535
Pu Pd Pt
1 4 1
direct
0.0000 0.0000 0.0000
0.1743 0.8257 0.5000
0.3355 0.6645 0.0000
0.6645 0.3355 0.0000
0.8257 0.1743 0.5000
0.5000 0.5000 0.5000
```



Entry 18:
VASP calculation (PBE-GGA) on crystalline VPt2Br2 at its relaxed geometry.

Calculated values
Fermi-level density of states, states/eV per atom: 0.71
Space-group type: No. 139
Uncorrected formation energy, eV/atom: 0.80
Energy above the lowest structure with this stoichiometry, eV/f.u.: 2.449

```
VPt2Br2
1.0
-1.9528 1.9528 6.9396
1.9528 -1.9528 6.9396
1.9528 1.9528 -6.9396
V Pt Br
1 2 2
direct
0.0000 0.0000 0.0000
0.4094 0.4094 0.0000
0.5906 0.5906 0.0000
0.2500 0.7500 0.5000
0.7500 0.2500 0.5000
```



Entry 19:
VASP calculation (PBE-GGA) on crystalline KLiW4 at its relaxed geometry.

Calculated values
Fermi-level density of states, states/eV per atom: 0.83
Space-group type: No. 216
ΔE_f, eV per atom: 1.258

```
KLiW4
1.0
0.0000 3.8818 3.8818
3.8818 0.0000 3.8818
3.8818 3.8818 0.0000
K Li W
1 1 4
direct
0.0000 0.0000 0.0000
0.7500 0.7500 0.7500
0.3746 0.3746 0.3746
0.3746 0.3746 0.8761
0.3746 0.8761 0.3746
0.8761 0.3746 0.3746
```



Entry 20:
VASP calculation (PBE-GGA) on crystalline La4PtCBr2 at its relaxed geometry.

Calculated values
Fermi-level density of states, states/eV per atom: 0.78
Space-group type: No. 10
Uncorrected formation energy, eV/atom: -1.05

```
La4PtCBr2
1.0
7.3855 0.0000 0.0000
0.0000 4.0087 0.0000
-2.4064 0.0000 7.5824
La Pt C Br
4 1 1 2
direct
0.2011 0.0000 0.1923
0.2480 0.5000 0.8039
0.7520 0.5000 0.1961
0.7989 0.0000 0.8077
0.5000 0.0000 0.0000
0.0000 0.5000 0.0000
0.0000 0.0000 0.5000
0.5000 0.5000 0.5000
```



Entry 21:
VASP calculation (PBE-GGA) on crystalline NaFe2Sb2 at its relaxed geometry.

Calculated values
Fermi-level density of states, states/eV per atom: 0.51
Space-group type: No. 139
Uncorrected formation energy, eV/atom: -0.04
Energy above the lowest structure with this stoichiometry, eV/f.u.: 0.000

```
NaFe2Sb2
1.0
-1.7570 1.7570 8.6327
1.7570 -1.7570 8.6327
1.7570 1.7570 -8.6327
Na Fe Sb
1 2 2
direct
0.0000 0.0000 0.0000
0.2500 0.7500 0.5000
0.7500 0.2500 0.5000
0.3648 0.3648 0.0000
0.6352 0.6352 0.0000
```



Entry 22:
VASP calculation (PBE-GGA) on crystalline CoRe2Au at its relaxed geometry.

Calculated values
Fermi-level density of states, states/eV per atom: 0.61
Space-group type: No. 123
ΔE_f, eV per atom: 0.390
Energy above the lowest structure with this stoichiometry, eV/f.u.: 0.613

```
CoRe2Au
1.0
3.7699 0.0000 0.0000
0.0000 3.7699 0.0000
0.0000 0.0000 4.0835
Co Re Au
1 2 1
direct
0.0000 0.0000 0.0000
0.0000 0.5000 0.5000
0.5000 0.0000 0.5000
0.5000 0.5000 0.0000
```



Entry 23:
VASP calculation (PBE-GGA) on crystalline RbTe2IrI at its relaxed geometry.

Calculated values
Fermi-level density of states, states/eV per atom: 1.20
Space-group type: No. 123
Uncorrected formation energy, eV/atom: -0.13
Energy above the lowest structure with this stoichiometry, eV/f.u.: 0.000

```
RbTe2IrI
1.0
5.3118 0.0000 0.0000
0.0000 5.3118 0.0000
0.0000 0.0000 5.9441
Rb Te Ir I
1 2 1 1
direct
0.0000 0.0000 0.0000
0.0000 0.5000 0.5000
0.5000 0.0000 0.5000
0.5000 0.5000 0.5000
0.5000 0.5000 0.0000
```



Entry 24:
VASP calculation (PBE-GGA) on crystalline BaMn2Zn at its relaxed geometry.

Calculated values
Fermi-level density of states, states/eV per atom: 0.76
Space-group type: No. 160
ΔE_f, eV per atom: 0.371

```
BaMn2Zn
1.0
2.2418 1.2943 5.9344
-2.2418 1.2943 5.9344
0.0000 -2.5886 5.9344
Ba Mn Zn
1 2 1
direct
0.0000 0.0000 0.0000
0.5200 0.5200 0.5200
0.8073 0.8073 0.8073
0.1904 0.1904 0.1904
```



Entry 25:
VASP calculation (PBE-GGA) on crystalline Ce2Er3TmBi6 at its relaxed geometry.

Calculated values
Fermi-level density of states, states/eV per atom: 1.12
Space-group type: No. 12
ΔE_f, eV per atom: -0.799

```
Ce2Er3TmBi6
1.0
9.7932 -2.2528 0.0000
9.7932 2.2528 0.0000
-2.0556 0.0000 8.7502
Ce Er Tm Bi
2 3 1 6
direct
0.1654 0.1654 0.3313
0.8346 0.8346 0.6687
0.1678 0.1678 0.8340
0.5000 0.5000 0.5000
0.8322 0.8322 0.1660
0.5000 0.5000 0.0000
0.0029 0.0029 0.7523
0.3343 0.3343 0.9238
0.3350 0.3350 0.4120
0.6650 0.6650 0.5880
0.6657 0.6657 0.0762
0.9971 0.9971 0.2477
```



Entry 26:
VASP calculation (PBE-GGA) on crystalline TaIrW2 at its relaxed geometry.

Calculated values
Fermi-level density of states, states/eV per atom: 0.89
Space-group type: No. 8
ΔE_f, eV per atom: 0.013
Energy above the lowest structure with this stoichiometry, eV/f.u.: 0.455

```
TaIrW2
1.0
4.7611 -1.3897 0.0000
4.7611 1.3897 0.0000
-0.7637 0.0000 4.9376
Ta Ir W
1 1 2
direct
0.0000 0.0000 0.0000
0.7442 0.7442 0.2126
0.2329 0.2329 0.7096
0.4764 0.4764 0.4876
```